Density functional theory data (PBE) for CaBe2SiSn after structural relaxation.

Output
- formation energy from raw total energies (meV per atom) = 426
- M_tot (Bohr magnetons per cell) = 0.00
- space group = P4/mmm (123)

abc: 4.3646 5.5656 4.3646
angles: 90.00 90.00 90.00
Atoms (fractional coordinates):
Be (0.5000, 0.0000, 0.0000)
Be (0.0000, 0.0000, 0.5000)
Si (0.0000, 0.0000, 0.0000)
Sn (0.5000, 0.5000, 0.5000)
Ca (0.0000, 0.5000, 0.0000)